A plane-wave DFT calculation with SCAN was carried out for a PBEsol-optimized structure of KCuRe2.

Cell and atoms, written as CIF:
```
data_KCuRe2
_symmetry_space_group_name_H-M 'C m m 2'
_symmetry_Int_Tables_number 35
_symmetry_space_group_name_Hall 'C 2 -2'
_cell_length_a 3.013
_cell_length_b 4.456
_cell_length_c 9.978
_cell_angle_alpha 90.00
_cell_angle_beta 90.00
_cell_angle_gamma 90.00
loop_
_atom_site_label
_atom_site_type_symbol
_atom_site_fract_x
_atom_site_fract_y
_atom_site_fract_z
K1 K 0.000 0.000 0.000
Cu1 Cu 0.000 0.500 0.718
Re1 Re 0.000 0.000 0.507
Re2 Re 0.000 0.500 0.294
```

Properties
ΔE_f (eV/f.u.): 3.02
Energy above the most stable polymorph in this dataset (meV/atom): 15.6
Electronic total energy (eV/atom): -40.676